## PrNd3S4 (GGA-PBE)

Data for an optimized crystal structure of PrNd3S4.

```
8
Lattice="-5.085 -0.400 2.696 -0.813 -5.225 -2.308 2.601 -2.414 4.548" Properties=species:S:1:pos:R:3 pbc="T T T"
Pr 0.000 0.000 0.000
Nd 0.894 -3.819 1.120
Nd -1.242 -1.407 3.622
Nd -2.949 -2.812 0.194
S -2.542 -0.200 1.348
S -0.406 -2.612 -1.154
S 1.301 -1.207 2.274
S -1.648 -4.020 2.468
```

Results
The total DFT energy (no corrections) comes out at -51.712 eV/f.u. The calculation puts the energy above the most stable polymorph in this dataset at 12 meV per atom. The crystal system is cubic. The space group is Pm-3m (221). The value obtained for the energy relative to the elements, uncorrected is -2.01 eV/atom.